First-principles (PBE) data for crystalline NaAs2SeBr at its relaxed geometry, as listed in Alexandria.

Cell: 5.1994 5.1994 5.5109 Å, 90.00 90.00 90.00°
Last column: magnetic moment on the atom in μB.
Fractional coordinates of all 5 atoms:
As 0.5000 0.0000 0.0000  0.21
As 0.0000 0.5000 0.0000  0.21
Br 0.0000 0.0000 0.0000  0.04
Na 0.5000 0.5000 0.5000  0.00
Se 0.0000 0.0000 0.5000  0.12

Summary:
Total magnetic moment in μB per atom: 0.236
Raw formation energy in kJ per mole of atoms: 65
E_tot in eV for the cell shown: -12.41
Offset from the most stable computed form in meV/atom: 500

First-principles (PBE) data for crystalline Ti2Re2P at its relaxed geometry, as listed in Alexandria.

Cell: 6.1720 6.1720 4.2539 Å, 90.00 90.00 90.00°
Fractional coordinates of all 10 atoms:
Ti 0.6639 0.1639 0.0000
P 0.5000 0.5000 0.0000
Re 0.8604 0.3604 0.5000
Ti 0.1639 0.3361 0.0000
Ti 0.3361 0.8361 0.0000
Re 0.6395 0.8604 0.5000
Re 0.1396 0.6395 0.5000
Ti 0.8361 0.6639 0.0000
P 0.0000 0.0000 0.0000
Re 0.3604 0.1396 0.5000

Summary:
Formation enthalpy at 0 K in kJ/mol of atoms: 19
Total magnetic moment in μB per atom: 0.000
E_tot in eV for the cell shown: -90.24
Offset from the most stable computed form in meV/atom: 102

First-principles (PBE) data for crystalline IrC at its relaxed geometry, as listed in Alexandria.

Cell: 5.0498 5.0498 5.6566 Å, 59.64 59.64 36.22°
Fractional coordinates of all 6 atoms:
C 0.6755 0.6755 0.5543
Ir 0.0430 0.0430 0.5574
C 0.3476 0.3476 0.6718
Ir 0.6973 0.6973 0.8963
Ir 0.3731 0.3731 0.2794
C 0.0303 0.0303 0.2076

Summary:
Formation enthalpy at 0 K in kJ/mol of atoms: 103
Total magnetic moment in μB per atom: 0.000
E_tot in eV for the cell shown: -47.83
Offset from the most stable computed form in meV/atom: 612

What is the formula in the second record?
Ti2Re2P

Which of these has the lowest E_tot?
Ti2Re2P

offset from the most stable computed form of number 3 (IrC)?
612 meV/atom